1.
Computed, not measured: Ta2AlRe after structural relaxation at the GGA-PBE level of DFT.

Calculated values
Space group: No. 12
Energy of formation from the pure elements in eV/atom: -0.149

Cell lengths 5.2769, 5.2769, 2.7820 Å; angles 99.33, 99.33, 116.29 degrees
Positions (direct):
Ta 0.0000 0.5000 0.0000
Ta 0.5000 0.0000 0.0000
Al 0.0000 0.0000 0.5000
Re 0.5000 0.5000 0.5000

---

2.
Computed, not measured: Ta4AlRe5 after structural relaxation at the GGA-PBE level of DFT.

Calculated values
Space group: No. 123
Energy of formation from the pure elements in eV/atom: -0.345

Cell lengths 3.2023, 3.2023, 15.6592 Å; angles 90.00, 90.00, 90.00 degrees
Positions (direct):
Ta 0.0000 0.0000 0.1029
Ta 0.0000 0.0000 0.3086
Ta 0.0000 0.0000 0.6914
Ta 0.0000 0.0000 0.8971
Al 0.0000 0.0000 0.5000
Re 0.5000 0.5000 0.0000
Re 0.5000 0.5000 0.2035
Re 0.5000 0.5000 0.4055
Re 0.5000 0.5000 0.5945
Re 0.5000 0.5000 0.7965

---

3.
Computed, not measured: Ta2AlRe after structural relaxation at the GGA-PBE level of DFT.

Calculated values
Space group: No. 123
Energy of formation from the pure elements in eV/atom: -0.159

Cell lengths 3.3175, 3.3175, 6.0241 Å; angles 90.00, 90.00, 90.00 degrees
Positions (direct):
Ta 0.0000 0.0000 0.2472
Ta 0.0000 0.0000 0.7528
Al 0.5000 0.5000 0.5000
Re 0.5000 0.5000 0.0000